# 1
Computed, not measured: an optimized crystal structure of MnCuRe3 at the PBE level of DFT.

Density of states at the Fermi level ... 1.684 states/eV/atom
Magnetic moment ... 0.00 μB per cell
Energy relative to the lowest polymorph listed for this composition ... 561.4 meV per atom
Calculated formation energy ... 51.41 kcal/mol of atoms

abc: 4.3787 4.3787 4.3787
angles: 90.00 90.00 90.00
With the nearest neighbours (Å) after each atom.
Space group Pm-3m (No. 221)
Symmetry-distinct sites (fractional):
Mn1 0.0000 0.0000 0.0000 [1 per cell]  12 Re 3.10
Cu1 0.5000 0.5000 0.5000 [1 per cell]  6 Re 2.19
Re1 0.0000 0.5000 0.5000 [3 per cell]  2 Cu 2.19



# 2
Computed, not measured: an optimized crystal structure of MnCuRe2 at the PBE level of DFT.

Density of states at the Fermi level ... 0.669 states/eV/atom
Magnetic moment ... 3.88 μB per cell
Energy relative to the lowest polymorph listed for this composition ... 44.7 meV per atom
Calculated formation energy ... 4.91 kcal/mol of atoms

abc: 3.1741 4.1216 8.3623
angles: 90.00 90.00 90.00
With the nearest neighbours (Å) after each atom.
Space group Cmmm (No. 65)
Symmetry-distinct sites (fractional):
Mn1 0.0000 0.0000 0.0000 [2 per cell]  4 Re 2.58, 4 Mn 2.60
Cu1 0.0000 0.0000 0.5000 [2 per cell]  4 Cu 2.60, 4 Re 2.67
Re1 0.0000 0.5000 0.2439 [4 per cell]  2 Mn 2.58, 4 Re 2.60, 2 Cu 2.67



# 3
Computed, not measured: an optimized crystal structure of MnCuRe2 at the PBE level of DFT.

Density of states at the Fermi level ... 0.799 states/eV/atom
Magnetic moment ... 4.16 μB per cell
Energy relative to the lowest polymorph listed for this composition ... 90.3 meV per atom
Calculated formation energy ... 5.96 kcal/mol of atoms

abc: 3.1459 4.1721 8.3767
angles: 90.00 90.00 90.00
With the nearest neighbours (Å) after each atom.
Space group Immm (No. 71)
Symmetry-distinct sites (fractional):
Mn1 0.0000 0.0000 0.0000 [2 per cell]  4 Re 2.59, 4 Cu 2.61
Cu1 0.0000 0.0000 0.5000 [2 per cell]  4 Mn 2.61, 4 Re 2.65
Re1 0.0000 0.5000 0.2542 [4 per cell]  2 Mn 2.59, 4 Re 2.61, 2 Cu 2.65



# 4
Computed, not measured: an optimized crystal structure of MnCu3Re at the PBE level of DFT.

Density of states at the Fermi level ... 0.829 states/eV/atom
Magnetic moment ... 3.56 μB per cell
Energy relative to the lowest polymorph listed for this composition ... 0.0 meV per atom
Calculated formation energy ... 35.83 kcal/mol of atoms

abc: 4.6340 4.6340 4.6340
angles: 90.00 90.00 90.00
With the nearest neighbours (Å) after each atom.
Space group Pm-3m (No. 221)
Symmetry-distinct sites (fractional):
Mn1 0.0000 0.0000 0.0000 [1 per cell]  12 Cu 3.28
Cu1 0.0000 0.5000 0.5000 [3 per cell]  2 Re 2.32
Re1 0.5000 0.5000 0.5000 [1 per cell]  6 Cu 2.32



# 5
Computed, not measured: an optimized crystal structure of MnCuRe2 at the PBE level of DFT.

Density of states at the Fermi level ... 0.861 states/eV/atom
Magnetic moment ... 2.22 μB per cell
Energy relative to the lowest polymorph listed for this composition ... 51.8 meV per atom
Calculated formation energy ... 5.07 kcal/mol of atoms

abc: 3.7298 3.7298 3.8973
angles: 90.00 90.00 90.00
With the nearest neighbours (Å) after each atom.
Space group P4/mmm (No. 123)
Symmetry-distinct sites (fractional):
Mn1 0.0000 0.0000 0.0000 [1 per cell]  4 Cu 2.64, 8 Re 2.70
Cu1 0.5000 0.5000 0.0000 [1 per cell]  4 Mn 2.64, 8 Re 2.70
Re1 0.0000 0.5000 0.5000 [2 per cell]  4 Re 2.64, 4 Mn 2.70, 4 Cu 2.70



# 6
Computed, not measured: an optimized crystal structure of MnCuRe2 at the PBE level of DFT.

Density of states at the Fermi level ... 1.170 states/eV/atom
Magnetic moment ... 0.50 μB per cell
Energy relative to the lowest polymorph listed for this composition ... 37.3 meV per atom
Calculated formation energy ... 4.73 kcal/mol of atoms

abc: 2.6858 2.6858 26.0276
angles: 90.00 90.00 120.00
With the nearest neighbours (Å) after each atom.
Space group R-3m (No. 166, hexagonal axes)
Symmetry-distinct sites (fractional):
Mn1 0.0000 0.0000 0.0000 [3 per cell]  6 Re 2.60, 6 Mn 2.69
Cu1 0.0000 0.0000 0.5000 [3 per cell]  6 Cu 2.69, 6 Re 2.73
Re1 0.0000 0.0000 0.2532 [6 per cell]  3 Mn 2.60, 6 Re 2.69, 3 Cu 2.73



# 7
Computed, not measured: an optimized crystal structure of Mn3CuRe at the PBE level of DFT.

Density of states at the Fermi level ... 1.286 states/eV/atom
Magnetic moment ... 8.48 μB per cell
Calculated formation energy ... 33.02 kcal/mol of atoms

abc: 4.5884 4.5884 4.5884
angles: 90.00 90.00 90.00
With the nearest neighbours (Å) after each atom.
Space group Pm-3m (No. 221)
Symmetry-distinct sites (fractional):
Mn1 0.0000 0.0000 0.5000 [3 per cell]  2 Re 2.29
Cu1 0.5000 0.5000 0.5000 [1 per cell]  12 Mn 3.24
Re1 0.0000 0.0000 0.0000 [1 per cell]  6 Mn 2.29



# 8
Computed, not measured: an optimized crystal structure of Mn2CuRe2 at the PBE level of DFT.

Density of states at the Fermi level ... 0.863 states/eV/atom
Magnetic moment ... 0.00 μB per cell
Calculated formation energy ... 6.66 kcal/mol of atoms

abc: 7.0522 7.0522 2.7166
angles: 90.00 90.00 90.00
With the nearest neighbours (Å) after each atom.
Space group P4/mbm (No. 127)
Symmetry-distinct sites (fractional):
Mn1 0.1335 0.3665 0.0000 [4 per cell]  6 Re 2.45-2.49, 3 Mn 2.66-2.72
Cu1 0.0000 0.0000 0.0000 [2 per cell]  2 Cu 2.72, 4 Mn 2.75, 8 Re 2.97
Re1 0.1617 0.6617 0.5000 [4 per cell]  6 Mn 2.45-2.49, 2 Re 2.72



# 9
Computed, not measured: an optimized crystal structure of MnZn2CuRe at the PBE level of DFT.

Density of states at the Fermi level ... 0.648 states/eV/atom
Magnetic moment ... 3.22 μB per cell
Calculated formation energy ... 24.59 kcal/mol of atoms

abc: 4.3433 4.3433 4.6828
angles: 90.00 90.00 90.00
With the nearest neighbours (Å) after each atom.
Space group P4/mmm (No. 123)
Symmetry-distinct sites (fractional):
Mn1 0.0000 0.0000 0.0000 [1 per cell]  4 Re 3.07, 8 Zn 3.19
Zn1 0.0000 0.5000 0.5000 [2 per cell]  2 Cu 2.17
Cu1 0.5000 0.5000 0.5000 [1 per cell]  4 Zn 2.17, 2 Re 2.34
Re1 0.5000 0.5000 0.0000 [1 per cell]  2 Cu 2.34



# 10
Computed, not measured: an optimized crystal structure of MnCuRh2 at the PBE level of DFT.

Density of states at the Fermi level ... 1.206 states/eV/atom
Magnetic moment ... 9.75 μB per cell
Calculated formation energy ... 8.99 kcal/mol of atoms

abc: 6.6478 6.6478 5.3212
angles: 90.00 90.00 90.00
With the nearest neighbours (Å) after each atom.
Space group I-42d (No. 122)
Symmetry-distinct sites (fractional):
Mn1 0.0000 0.0000 0.0000 [4 per cell]  4 Rh 2.36
Cu1 0.0000 0.0000 0.5000 [4 per cell]  4 Rh 2.53, 2 Mn 2.66
Rh1 0.2311 0.2500 0.1250 [8 per cell]  2 Mn 2.36, 2 Cu 2.53



# 11
Computed, not measured: an optimized crystal structure of Mn2Cu2Rh at the PBE level of DFT.

Density of states at the Fermi level ... 0.361 states/eV/atom
Magnetic moment ... 18.44 μB per cell
Energy relative to the lowest polymorph listed for this composition ... 0.0 meV per atom
Calculated formation energy ... 7.03 kcal/mol of atoms

abc: 3.2671 3.2671 14.0306
angles: 90.00 90.00 90.00
With the nearest neighbours (Å) after each atom.
Space group I4/mmm (No. 139)
Symmetry-distinct sites (fractional):
Mn1 0.0000 0.0000 0.1008 [4 per cell]  4 Cu 2.66, 4 Rh 2.71, 1 Mn 2.83
Cu1 0.0000 0.5000 0.2500 [4 per cell]  4 Cu 2.31
Rh1 0.0000 0.0000 0.5000 [2 per cell]  8 Mn 2.71



# 12
Computed, not measured: an optimized crystal structure of MnCuRh2 at the PBE level of DFT.

Density of states at the Fermi level ... 1.075 states/eV/atom
Magnetic moment ... 4.05 μB per cell
Calculated formation energy ... 1.58 kcal/mol of atoms

abc: 2.6974 4.3213 4.7702
angles: 90.00 93.21 90.00
With the nearest neighbours (Å) after each atom.
Space group P2/m (No. 10)
Symmetry-distinct sites (fractional):
Mn1 0.0000 0.0000 0.0000 [1 per cell]  4 Rh 2.58, 4 Cu 2.67-2.80, 2 Mn 2.70
Cu1 0.5000 0.0000 0.5000 [1 per cell]  4 Rh 2.57, 4 Mn 2.67-2.80, 2 Cu 2.70
Rh1 0.2532 0.5000 0.7474 [2 per cell]  2 Cu 2.57, 2 Mn 2.58, 6 Rh 2.66-2.84